Th2MgPb3 | PBE-GGA | optimized geometry

abc: 5.049 6.587 11.467
angles: 90.00 90.00 90.00
Space group Immm (No. 71)
Inequivalent atoms, fractional coordinates:
Th: 0.000 0.000 0.180 [4 per cell]
Mg: 0.000 0.000 0.500 [2 per cell]
Pb: 0.000 0.500 0.147 [4 per cell]
Pb: 0.000 0.500 0.500 [2 per cell]

Summary:
N(E_F) in states/eV/f.u.: 3.93
DFT formation energy in meV per atom: -44